YMg2CdPd4 | Alexandria via LeMat-Bulk | PBE | optimized geometry; total magnetization = 0.0000 μB per atom; volume = 144.59 Å³ per cell; formation energy = -5.44 eV/f.u.
1.0
-4.2406 -0.5683 -1.8619
-0.4362 -1.1763 -4.4942
-1.4108 -8.0023 -0.1908
Y Mg Pd Cd
1 2 4 1
direct
0.0000 0.0000 0.0000 Y
0.7547 0.7547 0.7360 Mg
0.2453 0.2453 0.2640 Mg
0.3790 0.3790 0.8630 Pd
0.1245 0.1245 0.6266 Pd
0.8755 0.8755 0.3734 Pd
0.6210 0.6210 0.1370 Pd
0.5000 0.5000 0.5000 Cd